No. 1
Computed, not measured: a relaxed structure of KLiZn2 at the PBE level of DFT.

Geometry as POSCAR:
```
KLiZn2
1.0
-1.788 2.845 5.063
1.788 -2.845 5.063
1.788 2.845 -5.063
K Li Zn
1 1 2
Direct
0.000 0.000 0.000
0.309 0.809 0.500
0.532 0.532 0.000
0.712 0.212 0.500
```

* mass density: 2851 kg/m3
* energy relative to the lowest polymorph listed for this composition: 169.0 meV per atom
* formation enthalpy at 0 K: 0.13 eV/atom
* symmetry: Imm2
* magnetization: 0.0 μB per formula unit


No. 2
Computed, not measured: a relaxed structure of KLiZn2 at the PBE level of DFT.

Geometry as POSCAR:
```
KLiZn2
1.0
4.892 0.000 0.000
0.000 4.892 0.000
0.000 0.000 4.419
K Li Zn
1 1 2
Direct
0.000 0.000 0.000
0.500 0.500 0.000
0.000 0.500 0.500
0.500 0.000 0.500
```

* mass density: 2778 kg/m3
* energy relative to the lowest polymorph listed for this composition: 271.8 meV per atom
* formation enthalpy at 0 K: 0.24 eV/atom
* symmetry: P4/mmm
* magnetization: 0.0 μB per formula unit


No. 3
Computed, not measured: a relaxed structure of KLiZn4 at the PBE level of DFT.

Geometry as POSCAR:
```
KLiZn4
1.0
0.000 3.917 3.917
3.917 0.000 3.917
3.917 3.917 0.000
K Li Zn
1 1 4
Direct
0.000 0.000 0.000
0.750 0.750 0.750
0.377 0.377 0.377
0.377 0.377 0.868
0.377 0.868 0.377
0.868 0.377 0.377
```

* mass density: 4251 kg/m3
* formation enthalpy at 0 K: 0.03 eV/atom
* symmetry: F-43m
* magnetization: 0.0 μB per formula unit


No. 4
Computed, not measured: a relaxed structure of KLiZn2 at the PBE level of DFT.

Geometry as POSCAR:
```
KLiZn2
1.0
2.265 1.308 6.234
-2.265 1.308 6.234
0.000 -2.615 6.234
K Li Zn
1 1 2
Direct
0.000 0.000 0.000
0.500 0.500 0.500
0.179 0.179 0.179
0.821 0.821 0.821
```

* mass density: 2651 kg/m3
* energy relative to the lowest polymorph listed for this composition: 34.9 meV per atom
* formation enthalpy at 0 K: 0.00 eV/atom
* symmetry: R-3m
* magnetization: 0.0 μB per formula unit


Uncorrected energy / eV per atom: -1.26 -1.15 -1.32 -1.39